Entry 1:
The following is a PBE calculation of a relaxed structure of LiAgSnBr6, from Alexandria.

## Properties
The crystal system is trigonal. The density comes out at 4.573 Mg/m³. The value obtained for the formation energy from raw total energies is -0.7384 eV per atom.

Cell: 6.8508 6.8508 12.7391 Å, 90.00 90.00 120.00°
With the nearest neighbours (Å) after each atom.
Fractional coordinates of all 18 atoms:
Li 0.3333 0.6667 0.2500  6 Br 2.74
Li 0.6667 0.3333 0.7500  6 Br 2.74
Ag 0.0000 0.0000 0.0000  6 Br 2.91
Ag 0.0000 0.0000 0.5000  6 Br 2.91
Sn 0.3333 0.6667 0.7500  6 Br 2.67
Sn 0.6667 0.3333 0.2500  6 Br 2.67
Br 0.0083 0.3541 0.6298  1 Sn 2.67, 1 Li 2.74, 1 Ag 2.91
Br 0.0083 0.6542 0.8702  1 Sn 2.67, 1 Li 2.74, 1 Ag 2.91
Br 0.3458 0.3541 0.8702  1 Sn 2.67, 1 Li 2.74, 1 Ag 2.91
Br 0.3458 0.9917 0.6298  1 Sn 2.67, 1 Li 2.74, 1 Ag 2.91
Br 0.3541 0.0083 0.1298  1 Sn 2.67, 1 Li 2.74, 1 Ag 2.91
Br 0.3541 0.3458 0.3702  1 Sn 2.67, 1 Li 2.74, 1 Ag 2.91
Br 0.6459 0.6542 0.6298  1 Sn 2.67, 1 Li 2.74, 1 Ag 2.91
Br 0.6459 0.9917 0.8702  1 Sn 2.67, 1 Li 2.74, 1 Ag 2.91
Br 0.6542 0.0083 0.3702  1 Sn 2.67, 1 Li 2.74, 1 Ag 2.91
Br 0.6542 0.6459 0.1298  1 Sn 2.67, 1 Li 2.74, 1 Ag 2.91
Br 0.9917 0.3458 0.1298  1 Sn 2.67, 1 Li 2.74, 1 Ag 2.91
Br 0.9917 0.6459 0.3702  1 Sn 2.67, 1 Li 2.74, 1 Ag 2.91



Entry 2:
The following is a PBE calculation of a relaxed structure of Li3Ag2SnBr8, from Alexandria.

## Properties
The crystal system is trigonal. The density comes out at 4.192 Mg/m³. The density of states at the Fermi level comes out at 2.21 states/eV per cell. The value obtained for the formation energy from raw total energies is -0.8916 eV per atom.

Cell: 7.9972 7.9972 7.9972 Å, 64.06 64.06 64.06°
With the nearest neighbours (Å) after each atom.
Fractional coordinates of all 14 atoms:
Li 0.0509 0.4746 0.4746  5 Br 2.62-2.80
Li 0.4746 0.0509 0.4746  5 Br 2.62-2.80
Li 0.4746 0.4746 0.0509  5 Br 2.62-2.80
Ag 0.1018 0.1018 0.1018  4 Br 2.71-2.80
Ag 0.5061 0.5061 0.5061  6 Br 2.82
Sn 0.9376 0.9376 0.9376  4 Br 2.59-2.79
Br 0.2494 0.2494 0.2494  3 Li 2.62, 1 Ag 2.80
Br 0.2635 0.2635 0.7168  2 Li 2.65, 2 Ag 2.71-2.82
Br 0.2635 0.7168 0.2635  2 Li 2.65, 2 Ag 2.71-2.82
Br 0.3176 0.7483 0.7483  1 Sn 2.79, 2 Li 2.80, 1 Ag 2.82
Br 0.7168 0.2635 0.2635  2 Li 2.65, 2 Ag 2.71-2.82
Br 0.7483 0.3176 0.7483  1 Sn 2.79, 2 Li 2.80, 1 Ag 2.82
Br 0.7483 0.7483 0.3176  1 Sn 2.79, 2 Li 2.80, 1 Ag 2.82
Br 0.8009 0.8009 0.8009  1 Sn 2.59



Entry 3:
The following is a PBE calculation of a relaxed structure of LiAgSnBr4, from Alexandria.

## Properties
The crystal system is orthorhombic. The density comes out at 4.326 Mg/m³. The density of states at the Fermi level comes out at 0.00 states/eV per cell. The value obtained for the formation energy from raw total energies is -0.8381 eV per atom.

Cell: 8.4633 8.4633 8.4633 Å, 121.27 119.94 88.96°
With the nearest neighbours (Å) after each atom.
Fractional coordinates of all 14 atoms:
Li 0.3917 0.1417 0.2500  4 Br 2.60-2.62
Li 0.6083 0.8583 0.7500  4 Br 2.60-2.62
Ag 0.0000 0.0000 0.5000  6 Br 2.88-3.04
Ag 0.0000 0.5000 0.0000  6 Br 2.88-3.04
Sn 0.0000 0.5000 0.5000  6 Br 3.00-3.01
Sn 0.5000 0.5000 0.0000  6 Br 3.00-3.01
Br 0.2349 0.7486 0.4864  1 Li 2.60, 2 Ag 2.88
Br 0.2378 0.2514 0.9864  1 Li 2.60, 2 Ag 2.88
Br 0.2519 0.2438 0.4919  1 Li 2.62
Br 0.2519 0.7600 0.0081  1 Li 2.62
Br 0.7481 0.2400 0.9919  1 Li 2.62
Br 0.7481 0.7562 0.5081  1 Li 2.62
Br 0.7622 0.7486 0.0136  1 Li 2.60, 2 Ag 2.88
Br 0.7651 0.2514 0.5136  1 Li 2.60, 2 Ag 2.88



Entry 4:
The following is a PBE calculation of a relaxed structure of Sr2LiAgBr6, from Alexandria.

## Properties
The crystal system is triclinic. The density comes out at 3.982 Mg/m³. The density of states at the Fermi level comes out at 0.00 states/eV per cell. The value obtained for the formation energy from raw total energies is -1.6173 eV per atom.

Cell: 7.4366 7.4406 7.9497 Å, 90.03 117.83 119.98°
With the nearest neighbours (Å) after each atom.
Fractional coordinates of all 10 atoms:
Sr 0.0000 0.0000 0.0000  6 Br 3.05-3.09
Sr 0.0052 0.5025 0.5078  6 Br 3.06-3.10
Li 0.6064 0.3032 0.9097  6 Br 2.73-2.93
Ag 0.6065 0.8035 0.4102  6 Br 2.86-3.04
Br 0.1084 0.4273 0.1889  1 Ag 2.86, 1 Li 2.92, 2 Sr 3.05-3.09
Br 0.1327 0.1920 0.6987  1 Li 2.73, 1 Ag 3.04
Br 0.5068 0.9403 0.6980  1 Li 2.74, 1 Ag 3.03, 1 Sr 3.07
Br 0.5080 0.0809 0.1891  1 Ag 2.86, 1 Li 2.92, 2 Sr 3.05-3.10
Br 0.7580 0.5662 0.6988  1 Li 2.73, 1 Ag 3.04
Br 0.7620 0.6818 0.1898  1 Ag 2.86, 1 Li 2.93, 2 Sr 3.05-3.10



Entry 5:
The following is a PBE calculation of a relaxed structure of LiTbAg2Br6, from Alexandria.

## Properties
The crystal system is trigonal. The density comes out at 4.997 Mg/m³. The density of states at the Fermi level comes out at 0.00 states/eV per cell. The value obtained for the formation energy from raw total energies is -1.1613 eV per atom.

Cell: 7.6953 7.6953 7.6953 Å, 55.18 55.18 55.18°
With the nearest neighbours (Å) after each atom.
Fractional coordinates of all 10 atoms:
Li 0.0000 0.0000 0.0000  6 Br 2.76-2.84
Tb 0.4970 0.4970 0.4970  6 Br 2.83-2.84
Ag 0.3058 0.3058 0.3058  6 Br 2.82-3.02
Ag 0.8053 0.8053 0.8053  6 Br 2.82-3.03
Br 0.1018 0.7346 0.3897  1 Li 2.76, 2 Ag 2.82-3.02, 1 Tb 2.84
Br 0.2330 0.6067 0.8916  2 Ag 2.82-3.03, 1 Tb 2.83, 1 Li 2.84
Br 0.3897 0.1018 0.7346  1 Li 2.76, 2 Ag 2.82-3.02, 1 Tb 2.84
Br 0.6067 0.8916 0.2330  2 Ag 2.82-3.03, 1 Tb 2.83, 1 Li 2.84
Br 0.7346 0.3897 0.1018  1 Li 2.76, 2 Ag 2.82-3.02, 1 Tb 2.84
Br 0.8916 0.2330 0.6067  2 Ag 2.82-3.03, 1 Tb 2.83, 1 Li 2.84



Entry 6:
The following is a PBE calculation of a relaxed structure of LiThAgBr6, from Alexandria.

## Properties
The crystal system is tetragonal. The density comes out at 4.736 Mg/m³. The density of states at the Fermi level comes out at 0.00 states/eV per cell. The value obtained for the formation energy from raw total energies is -1.3517 eV per atom.

Cell: 6.8251 6.8251 12.4378 Å, 90.00 90.00 90.00°
With the nearest neighbours (Å) after each atom.
Fractional coordinates of all 18 atoms:
Li 0.0000 0.0000 0.0000  6 Br 2.75-2.82
Li 0.5000 0.5000 0.5000  6 Br 2.75-2.82
Th 0.0000 0.0000 0.3330  6 Br 2.85-2.88
Th 0.5000 0.5000 0.8330  6 Br 2.85-2.88
Ag 0.0000 0.0000 0.6614  6 Br 2.88-2.94
Ag 0.5000 0.5000 0.1614  6 Br 2.88-2.94
Br 0.1952 0.1952 0.1612  1 Li 2.75, 1 Th 2.85, 1 Ag 2.94
Br 0.2022 0.2022 0.8358  1 Li 2.82, 1 Th 2.88, 1 Ag 2.92
Br 0.2083 0.2083 0.4957  1 Li 2.82, 1 Th 2.85, 1 Ag 2.88
Br 0.2917 0.7083 0.9957  1 Li 2.82, 1 Th 2.85, 1 Ag 2.88
Br 0.2978 0.7022 0.3358  1 Li 2.82, 1 Th 2.88, 1 Ag 2.92
Br 0.3048 0.6952 0.6612  1 Li 2.75, 1 Th 2.85, 1 Ag 2.94
Br 0.6952 0.3048 0.6612  1 Li 2.75, 1 Th 2.85, 1 Ag 2.94
Br 0.7022 0.2978 0.3358  1 Li 2.82, 1 Th 2.88, 1 Ag 2.92
Br 0.7083 0.2917 0.9957  1 Li 2.82, 1 Th 2.85, 1 Ag 2.88
Br 0.7917 0.7917 0.4957  1 Li 2.82, 1 Th 2.85, 1 Ag 2.88
Br 0.7978 0.7978 0.8358  1 Li 2.82, 1 Th 2.88, 1 Ag 2.92
Br 0.8048 0.8048 0.1612  1 Li 2.75, 1 Th 2.85, 1 Ag 2.94



Entry 7:
The following is a PBE calculation of a relaxed structure of LiTlAgBr3, from Alexandria.

## Properties
The crystal system is monoclinic. The density comes out at 5.208 Mg/m³. The density of states at the Fermi level comes out at 0.00 states/eV per cell. The value obtained for the formation energy from raw total energies is -0.8864 eV per atom.

Cell: 8.7571 4.1233 10.2176 Å, 90.00 104.96 90.00°
With the nearest neighbours (Å) after each atom.
Fractional coordinates of all 12 atoms:
Li 0.1481 0.2500 0.1054  5 Br 2.57-2.82
Li 0.8519 0.7500 0.8946  5 Br 2.57-2.82
Tl 0.2982 0.7500 0.7799  7 Br 3.27-3.52
Tl 0.7018 0.2500 0.2201  7 Br 3.27-3.52
Ag 0.4103 0.7500 0.4017  4 Br 2.69-2.82
Ag 0.5897 0.2500 0.5983  4 Br 2.69-2.82
Br 0.0378 0.2500 0.8464  3 Li 2.57-2.75
Br 0.2579 0.2500 0.4941  3 Ag 2.75-2.82
Br 0.3743 0.7500 0.1318  1 Ag 2.69, 2 Li 2.82
Br 0.6257 0.2500 0.8682  1 Ag 2.69, 2 Li 2.82
Br 0.7421 0.7500 0.5059  3 Ag 2.75-2.82
Br 0.9622 0.7500 0.1536  3 Li 2.57-2.75



Entry 8:
The following is a PBE calculation of a relaxed structure of LiTlAg2Br4, from Alexandria.

## Properties
The crystal system is orthorhombic. The density comes out at 4.740 Mg/m³. The density of states at the Fermi level comes out at 0.00 states/eV per cell. The value obtained for the formation energy from raw total energies is -0.7472 eV per atom.

Cell: 7.4174 7.4079 6.8141 Å, 62.71 62.57 54.73°
With the nearest neighbours (Å) after each atom.
Fractional coordinates of all 8 atoms:
Li 0.0000 0.0000 0.0000  4 Br 2.54
Tl 0.4983 0.4983 0.5017  4 Br 3.21-3.22
Ag 0.2499 0.2499 0.2501  4 Br 2.75
Ag 0.7499 0.7499 0.7501  4 Br 2.75
Br 0.0693 0.6539 0.3461  1 Li 2.54, 2 Ag 2.75
Br 0.3467 0.9297 0.6533  1 Li 2.54, 2 Ag 2.75
Br 0.6539 0.0693 0.9307  1 Li 2.54, 2 Ag 2.75
Br 0.9297 0.3467 0.0703  1 Li 2.54, 2 Ag 2.75



Entry 9:
The following is a PBE calculation of a relaxed structure of Li2TlAgBr6, from Alexandria.

## Properties
The crystal system is trigonal. The density comes out at 4.900 Mg/m³. The value obtained for the formation energy from raw total energies is -0.8454 eV per atom.

Cell: 7.5923 7.5923 7.5923 Å, 54.94 54.94 54.94°
With the nearest neighbours (Å) after each atom.
Fractional coordinates of all 10 atoms:
Li 0.0000 0.0000 0.0000  6 Br 2.78-2.82
Li 0.4977 0.4977 0.4977  6 Br 2.74-2.81
Tl 0.8109 0.8109 0.8109  6 Br 2.79-2.87
Ag 0.3005 0.3005 0.3005  6 Br 2.78-2.98
Br 0.0958 0.4029 0.7190  2 Li 2.78-2.81, 1 Tl 2.79, 1 Ag 2.98
Br 0.2290 0.8860 0.6064  2 Li 2.74-2.82, 1 Ag 2.78, 1 Tl 2.87
Br 0.4029 0.7190 0.0958  2 Li 2.78-2.81, 1 Tl 2.79, 1 Ag 2.98
Br 0.6064 0.2290 0.8860  2 Li 2.74-2.82, 1 Ag 2.78, 1 Tl 2.87
Br 0.7190 0.0958 0.4029  2 Li 2.78-2.81, 1 Tl 2.79, 1 Ag 2.98
Br 0.8860 0.6064 0.2290  2 Li 2.74-2.82, 1 Ag 2.78, 1 Tl 2.87



Entry 10:
The following is a PBE calculation of a relaxed structure of LiTl2AgBr8, from Alexandria.

## Properties
The crystal system is tetragonal. The density comes out at 4.723 Mg/m³. The density of states at the Fermi level comes out at 0.12 states/eV per cell. The value obtained for the formation energy from raw total energies is -0.5399 eV per atom.

Cell: 8.0984 8.0984 8.0984 Å, 109.18 109.18 110.05°
With the nearest neighbours (Å) after each atom.
Fractional coordinates of all 12 atoms:
Li 0.0000 0.0000 0.0000  4 Br 2.81
Tl 0.5000 0.5000 0.0000  4 Br 2.67
Tl 0.7500 0.2500 0.5000  4 Br 2.64
Ag 0.2500 0.7500 0.5000  4 Br 2.80
Br 0.3029 0.0964 0.7935  1 Tl 2.67, 1 Ag 2.80
Br 0.3029 0.5094 0.2065  1 Tl 2.67, 1 Ag 2.80
Br 0.3506 0.0568 0.2937  1 Tl 2.64, 1 Li 2.81
Br 0.4906 0.6971 0.7935  1 Tl 2.67, 1 Ag 2.80
Br 0.7631 0.0568 0.7063  1 Tl 2.64, 1 Li 2.81
Br 0.9036 0.6971 0.2065  1 Tl 2.67, 1 Ag 2.80
Br 0.9432 0.2369 0.2937  1 Tl 2.64, 1 Li 2.81
Br 0.9432 0.6494 0.7063  1 Tl 2.64, 1 Li 2.81



Entry 11:
The following is a PBE calculation of a relaxed structure of LiTlAg2Br6, from Alexandria.

## Properties
The crystal system is trigonal. The density comes out at 5.292 Mg/m³. The density of states at the Fermi level comes out at 1.43 states/eV per cell. The value obtained for the formation energy from raw total energies is -0.5970 eV per atom.

Cell: 7.6316 7.6316 7.6316 Å, 55.90 55.90 55.90°
With the nearest neighbours (Å) after each atom.
Fractional coordinates of all 10 atoms:
Li 0.0000 0.0000 0.0000  3 Br 2.66
Tl 0.4846 0.4846 0.4846  6 Br 2.79-2.88
Ag 0.2841 0.2841 0.2841  6 Br 2.78-3.02
Ag 0.7887 0.7887 0.7887  6 Br 2.81-3.00
Br 0.0831 0.7061 0.3814  1 Li 2.66, 1 Ag 2.81, 1 Tl 2.88
Br 0.2110 0.5902 0.8777  2 Ag 2.78-3.00, 1 Tl 2.79, 1 Li 3.03
Br 0.3814 0.0831 0.7061  1 Li 2.66, 1 Ag 2.81, 1 Tl 2.88
Br 0.5902 0.8777 0.2110  2 Ag 2.78-3.00, 1 Tl 2.79, 1 Li 3.03
Br 0.7061 0.3814 0.0831  1 Li 2.66, 1 Ag 2.81, 1 Tl 2.88
Br 0.8777 0.2110 0.5902  2 Ag 2.78-3.00, 1 Tl 2.79, 1 Li 3.03



Entry 12:
The following is a PBE calculation of a relaxed structure of LiTmAg2Br6, from Alexandria.

## Properties
The crystal system is trigonal. The density comes out at 5.136 Mg/m³. The density of states at the Fermi level comes out at 0.00 states/eV per cell. The value obtained for the formation energy from raw total energies is -1.1548 eV per atom.

Cell: 7.6383 7.6383 7.6383 Å, 55.42 55.42 55.42°
With the nearest neighbours (Å) after each atom.
Fractional coordinates of all 10 atoms:
Li 0.0000 0.0000 0.0000  6 Br 2.76-2.85
Tm 0.5041 0.5041 0.5041  6 Br 2.78-2.79
Ag 0.1960 0.1960 0.1960  6 Br 2.82-3.03
Ag 0.6975 0.6975 0.6975  6 Br 2.82-3.03
Br 0.1160 0.3930 0.7627  1 Tm 2.78, 2 Ag 2.82-3.03, 1 Li 2.85
Br 0.2678 0.8935 0.6119  1 Li 2.76, 1 Tm 2.79, 2 Ag 2.82-3.03
Br 0.3930 0.7627 0.1160  1 Tm 2.78, 2 Ag 2.82-3.03, 1 Li 2.85
Br 0.6119 0.2678 0.8935  1 Li 2.76, 1 Tm 2.79, 2 Ag 2.82-3.03
Br 0.7627 0.1160 0.3930  1 Tm 2.78, 2 Ag 2.82-3.03, 1 Li 2.85
Br 0.8935 0.6119 0.2678  1 Li 2.76, 1 Tm 2.79, 2 Ag 2.82-3.03